Entry 1:
Computed, not measured: a geometry-optimized Nd3ZnCd3 structure at the PBE level of DFT.

Geometry as POSCAR:
```
Nd3ZnCd3
1.0
4.844 0.000 -1.057
-0.176 3.472 -0.806
-0.149 0.701 10.946
Cd Nd Zn
3 3 1
Cartesian
2.612 2.046 0.342
0.527 2.421 2.414
4.001 1.761 6.709
3.286 0.964 3.433
4.500 4.152 8.998
1.255 3.233 5.751
1.894 2.113 8.682
```

Values from the calculation:
Formation enthalpy at 0 K: -0.29 eV/atom
DFT total energy: -0.10668 hartree per atom
SG: Imm2, No. 44
DOS at the Fermi energy: 6.68 states/eV per cell

Entry 2:
Computed, not measured: a geometry-optimized Sm2Y3Co structure at the PBE level of DFT.

Geometry as POSCAR:
```
Sm2Y3Co
1.0
4.992 0.000 -1.641
-0.039 7.499 -0.116
0.363 2.022 9.520
Sm Co Y
4 2 6
Cartesian
1.702 3.836 5.180
3.614 5.685 2.583
1.682 7.585 5.122
3.634 1.935 2.641
5.338 3.896 7.852
-0.022 5.624 -0.089
0.572 3.781 1.740
4.764 1.990 6.081
0.552 7.530 1.682
4.744 5.740 6.023
2.480 1.875 -0.847
2.836 7.646 8.610
```

Values from the calculation:
Formation enthalpy at 0 K: -0.03 eV/atom
DFT total energy: -0.22130 hartree per atom
SG: C2/c, No. 15
DOS at the Fermi energy: 13.94 states/eV per cell

Entry 3:
Computed, not measured: a geometry-optimized Li7AcCd5 structure at the PBE level of DFT.

Geometry as POSCAR:
```
Li7AcCd5
1.0
5.786 -0.015 -0.015
2.874 6.998 -0.064
2.874 -0.086 6.998
Li Ac Cd
7 1 5
Cartesian
8.659 2.443 4.518
5.767 1.444 5.403
2.889 1.551 1.556
5.750 4.472 4.487
5.785 2.406 2.413
8.659 4.510 2.458
5.767 5.398 1.461
5.748 6.895 6.917
1.450 3.420 0.008
4.318 3.413 0.005
1.450 -0.003 3.420
8.647 5.437 5.454
4.318 -0.006 3.413
```

Values from the calculation:
Formation enthalpy at 0 K: -0.20 eV/atom
DFT total energy: -0.06970 hartree per atom
SG: Cm, No. 8
DOS at the Fermi energy: 6.39 states/eV per cell

Entry 4:
Computed, not measured: a geometry-optimized VRuRh2C structure at the PBE level of DFT.

Geometry as POSCAR:
```
VRuRh2C
1.0
4.506 0.000 0.000
0.000 3.802 0.000
0.000 0.000 4.506
V Ru Rh C
1 1 2 1
Cartesian
0.000 0.000 0.000
2.253 1.901 2.253
0.000 0.000 2.253
2.253 0.000 0.000
0.000 1.901 0.000
```

Values from the calculation:
Formation enthalpy at 0 K: 1.48 eV/atom
DFT total energy: -0.25649 hartree per atom
SG: P4/mmm, No. 123
DOS at the Fermi energy: 6.54 states/eV per cell

Entry 5:
Computed, not measured: a geometry-optimized Rb2NaCrCl6 structure at the PBE level of DFT.

Geometry as POSCAR:
```
Rb2NaCrCl6
1.0
7.271 0.000 0.000
3.635 6.297 0.000
3.635 2.099 5.936
Cr Cl Na Rb
1 6 1 2
Cartesian
0.000 0.000 0.000
5.310 5.330 1.368
7.271 1.934 1.368
5.310 3.066 4.569
9.231 3.066 4.569
9.231 5.330 1.368
7.271 6.461 4.569
7.271 4.198 2.968
10.906 6.297 4.452
3.635 2.099 1.484
```

Values from the calculation:
E_form (uncorrected): -1.6191 eV per atom
DFT total energy: -0.14754 hartree per atom
SG: Fm-3m, No. 225
DOS at the Fermi energy: 0.00 states/eV per cell

Entry 6:
Computed, not measured: a geometry-optimized KNbAu3 structure at the PBE level of DFT.

Geometry as POSCAR:
```
KNbAu3
1.0
5.249 0.000 0.000
0.000 5.249 0.000
0.000 0.000 5.249
Au K Nb
3 1 1
Cartesian
2.625 0.000 0.000
0.000 0.000 2.625
0.000 2.625 0.000
2.625 2.625 2.625
0.000 0.000 0.000
```

Values from the calculation:
Formation enthalpy at 0 K: 0.33 eV/atom
DFT total energy: -0.14214 hartree per atom
SG: Pm-3m, No. 221
Energy above the most stable polymorph in this dataset: 0.000 eV/atom
DOS at the Fermi energy: 3.73 states/eV per cell

| no. | density (g/cm³) |
| --- | --- |
| 1 | 7.44 |
| 2 | 5.74 |
| 3 | 4.90 |
| 4 | 7.96 |
| 5 | 2.80 |
| 6 | 8.30 |